Compound: La3InGa2
Source: the Alexandria database
Functional: PBE
Structure: optimized geometry

Results
Fermi-level density of states   7.142 states/eV per cell
Uncorrected energy   -4.4647 eV/atom
ΔH_f (0 K)   -51.7 kJ/mol of atoms

Cell and atoms, written as POSCAR:
```
La3InGa2
1.0
5.426 0.000 0.000
-2.713 4.699 0.000
0.000 0.000 13.317
La In Ga
6 2 4
direct
0.000 0.000 0.240 La
0.000 0.000 0.760 La
0.333 0.667 0.417 La
0.333 0.667 0.926 La
0.667 0.333 0.074 La
0.667 0.333 0.583 La
0.333 0.667 0.670 In
0.667 0.333 0.330 In
0.000 0.000 0.000 Ga
0.000 0.000 0.500 Ga
0.333 0.667 0.171 Ga
0.667 0.333 0.829 Ga
```